(1)
The following is a GGA-PBE calculation of an optimized crystal structure of BeSbMo2, from Alexandria via LeMat-Bulk.

abc: 3.236 3.236 5.997
angles: 90.00 90.00 90.00
Space group P4mm (No. 99)
Asymmetric unit:
Be 0.000 0.000 0.000 [1 per cell]
Sb 0.500 0.500 0.707 [1 per cell]
Mo 0.000 0.000 0.421 [1 per cell]
Mo 0.500 0.500 0.171 [1 per cell]

***

(2)
The following is a GGA-PBE calculation of an optimized crystal structure of Be2SbMo, from Alexandria via LeMat-Bulk.

abc: 3.094 3.609 5.142
angles: 90.00 90.11 90.00
Space group P2/m (No. 10)
Asymmetric unit:
Be 0.001 0.000 0.190 [2 per cell]
Sb 0.000 0.500 0.500 [1 per cell]
Mo 0.500 0.500 0.000 [1 per cell]

***

(3)
The following is a GGA-PBE calculation of an optimized crystal structure of BeSbMo2, from Alexandria via LeMat-Bulk.

abc: 3.268 3.268 5.885
angles: 90.00 90.00 90.00
Space group P4/mmm (No. 123)
Asymmetric unit:
Be 0.000 0.000 0.000 [1 per cell]
Sb 0.000 0.000 0.500 [1 per cell]
Mo 0.500 0.500 0.206 [2 per cell]

***

Summary of theoretical density in g/cm3
8.5 6.8 8.5
(order as listed above)
Summary of N(E_F) in states/eV/cell
1.770 2.188 4.168
(order as listed above)
Summary of VASP energy in eV/atom
-7.305 -5.291 -7.059
(order as listed above)